Entry from the Alexandria database: crystalline Hf3RhBr at its relaxed geometry (GGA-PBEsol).

Unit cell a=4.970 b=4.970 c=4.970 alpha=90.00 beta=90.00 gamma=90.00
Fractional coordinates of all 5 atoms:
Hf1 0.000 0.000 0.500
Hf2 0.000 0.500 0.000
Hf3 0.500 0.000 0.000
Rh1 0.000 0.000 0.000
Br1 0.500 0.500 0.500

Calculated values
The value obtained for the formation energy from raw total energies is 0.3061 eV/atom. As for the calculated total energy: -39.987 eV/cell. The density of states at the Fermi level comes out at 5.1 states/eV/f.u. The space group is Pm-3m.



Entry from the Alexandria database: crystalline HfSnRh2Br at its relaxed geometry (GGA-PBEsol).

Unit cell a=4.773 b=4.773 c=5.162 alpha=90.00 beta=90.00 gamma=90.00
Fractional coordinates of all 5 atoms:
Hf1 0.000 0.000 0.000
Sn1 0.500 0.500 0.500
Rh1 0.000 0.500 0.500
Rh2 0.500 0.000 0.500
Br1 0.500 0.500 0.000

Calculated values
The value obtained for the formation energy from raw total energies is 1.0552 eV/atom. As for the calculated total energy: -27.633 eV/cell. The density of states at the Fermi level comes out at 4.4 states/eV/f.u. The space group is P4/mmm.



Entry from the Alexandria database: crystalline HfSBr2 at its relaxed geometry (GGA-PBEsol).

Unit cell a=7.206 b=7.206 c=7.206 alpha=96.36 beta=96.36 gamma=141.11
Fractional coordinates of all 8 atoms:
Hf1 0.000 0.000 0.000
Hf2 0.750 0.250 0.500
S1 0.250 0.750 0.500
S2 0.500 0.500 0.000
Br1 0.375 0.014 0.139
Br2 0.764 0.625 0.639
Br3 0.875 0.236 0.861
Br4 0.986 0.125 0.361

Calculated values
The value obtained for the formation energy from raw total energies is -1.0474 eV/atom. As for the calculated total energy: -45.634 eV/cell. The space group is I-42d.